[1]
A plane-wave DFT calculation with GGA-PBE was carried out for a geometry-optimized ScU2W2C4 structure.

Properties
calculated density	12.64	g/cm3
total DFT energy (no corrections)	-0.376	Ha/atom
energy relative to the elements	-32.5	meV/atom
size of the total moment	0.123	μB per atom

Unit cell a=3.1528 b=7.1908 c=5.6847 alpha=101.56 beta=90.00 gamma=102.66
With the nearest neighbours (Å) after each atom.
Element x y z (fractional)
1 Sc 0.0000 0.0000 0.0000  4 C 2.33
2 W 0.6775 0.3551 0.0386  4 C 2.14-2.21
3 W 0.3225 0.6449 0.9614  4 C 2.14-2.21
4 C 0.2472 0.4945 0.2666  3 W 2.14-2.21
5 C 0.7528 0.5055 0.7334  3 W 2.14-2.21
6 C 0.5497 0.0995 0.7475  1 W 2.18, 2 Sc 2.33, 2 U 2.39
7 C 0.4503 0.9005 0.2525  1 W 2.18, 2 Sc 2.33, 2 U 2.39
8 U 0.8721 0.7441 0.4666  5 C 2.39-2.48
9 U 0.1279 0.2559 0.5334  5 C 2.39-2.48


[2]
A plane-wave DFT calculation with GGA-PBE was carried out for a geometry-optimized Zr2ScUC4 structure.

Properties
calculated density	7.79	g/cm3
total DFT energy (no corrections)	-0.350	Ha/atom
energy relative to the elements	-573.1	meV/atom
size of the total moment	0.000	μB per atom

Unit cell a=3.3802 b=5.8880 c=5.8023 alpha=71.41 beta=90.00 gamma=90.00
With the nearest neighbours (Å) after each atom.
Element x y z (fractional)
1 U 0.5000 0.5000 0.0000  6 C 2.30-2.40
2 C 0.5000 0.2543 0.7606  1 U 2.30, 3 Zr 2.39-2.44, 2 Sc 2.42
3 C 0.0000 0.2478 0.2476  3 Zr 2.35-2.40, 1 Sc 2.40, 2 U 2.40
4 C 0.0000 0.7522 0.7524  3 Zr 2.35-2.40, 1 Sc 2.40, 2 U 2.40
5 C 0.5000 0.7457 0.2394  1 U 2.30, 3 Zr 2.39-2.44, 2 Sc 2.42
6 Zr 0.5000 0.0000 0.5000  6 C 2.40-2.44
7 Zr 0.0000 0.0000 0.0000  6 C 2.35-2.39
8 Sc 0.0000 0.5000 0.5000  6 C 2.40-2.42


[3]
A plane-wave DFT calculation with GGA-PBE was carried out for a geometry-optimized ScV2C2 structure.

Properties
calculated density	4.70	g/cm3
total DFT energy (no corrections)	-0.329	Ha/atom
energy relative to the elements	-353.4	meV/atom
size of the total moment	0.000	μB per atom

Unit cell a=5.3662 b=5.3662 c=5.4662 alpha=113.31 beta=113.31 gamma=101.18
With the nearest neighbours (Å) after each atom.
Element x y z (fractional)
1 Sc 0.1250 0.3750 0.2500  2 C 2.33
2 Sc 0.8750 0.6250 0.7500  2 C 2.33
3 C 0.8444 0.6556 0.2500  4 V 1.98-2.16
4 C 0.5944 0.9056 0.7500  4 V 1.98-2.16
5 C 0.1556 0.3444 0.7500  4 V 1.98-2.16
6 C 0.4056 0.0944 0.2500  4 V 1.98-2.16
7 V 0.5119 0.2619 0.0238  4 C 1.98-2.16
8 V 0.2381 0.9881 0.4762  4 C 1.98-2.16
9 V 0.7619 0.0119 0.5238  4 C 1.98-2.16
10 V 0.4881 0.7381 0.9762  4 C 1.98-2.16


> Which of these has the lowest calculated density?

ScV2C2


> Look up the calculated density of the first one.

12.64 g/cm3


> total DFT energy (no corrections) of number 3 (ScV2C2)?

-0.329 Ha/atom


> Among the records above, which one has the lowest energy relative to the elements?

Zr2ScUC4